CeGaPt: relaxed, PBE.

symmetry	Cmcm, No. 63
ΔH_f (0 K)	-0.841	eV/atom

Geometry as POSCAR:
```
CeGaPt
1.0
3.9557 0.0000 0.0000
0.0000 5.7403 0.0000
0.0000 0.0000 10.8340
Pt Ce Ga
4 4 4
Cartesian
2.9668 2.8686 2.7083
0.9889 2.8717 8.1257
2.9668 5.7388 2.7087
0.9889 0.0015 8.1253
0.9889 4.3044 4.8210
2.9668 4.3061 10.2380
0.9889 1.4343 0.5960
2.9668 1.4359 6.0130
0.9889 1.4337 3.7194
0.9889 4.3038 1.6976
2.9668 4.3067 7.1146
2.9668 1.4365 9.1364
```